Computed, not measured: BaCaAcCd after structural relaxation at the PBE-GGA level of DFT.

a b c (Å): 6.1095 6.1095 6.1095
angles (deg): 60.00 60.00 60.00
Fractional positions:
Ac  0.7500  0.7500  0.7500
Ca  0.0000  0.0000  0.0000
Ba  0.2500  0.2500  0.2500
Cd  0.5000  0.5000  0.5000

Energy of formation from the pure elements ... -1.8 kJ/mol of atoms
DFT total energy ... -9.0 eV for the cell shown
Density of states at the Fermi level ... 1.40 states/eV per atom